# Ce4Co2Ir | Alexandria via LeMat-Bulk | PBE-GGA | optimized geometry
# total moment	0.003	Bohr magnetons per cell
# calculated formation energy	-0.277	eV/atom
# crystal system	tetragonal
data_Ce4Co2Ir
_symmetry_space_group_name_H-M 'I 41/a m d'
_symmetry_Int_Tables_number 141
_cell_length_a 8.609
_cell_length_b 8.609
_cell_length_c 8.791
_cell_angle_alpha 90.00
_cell_angle_beta 90.00
_cell_angle_gamma 90.00
loop_
_symmetry_equiv_pos_as_xyz
'x,y,z'
'-x,-y,-z'
'-y+1/4,x+3/4,z+1/4'
'y+1/4,-x+3/4,-z+1/4'
'-x+1/2,-y,z+1/2'
'x+1/2,y,-z+1/2'
'y+1/4,-x+1/4,z+3/4'
'-y+1/4,x+1/4,-z+3/4'
'x,-y,-z'
'-x,y,z'
'-y+1/4,-x+1/4,-z+3/4'
'y+1/4,x+1/4,z+3/4'
'-x+1/2,y,-z+1/2'
'x+1/2,-y,z+1/2'
'y+1/4,x+3/4,-z+1/4'
'-y+1/4,-x+3/4,z+1/4'
'x+1/2,y+1/2,z+1/2'
'-x+1/2,-y+1/2,-z+1/2'
'-y+3/4,x+1/4,z+3/4'
'y+3/4,-x+1/4,-z+3/4'
'-x,-y+1/2,z'
'x,y+1/2,-z'
'y+3/4,-x+3/4,z+1/4'
'-y+3/4,x+3/4,-z+1/4'
'x+1/2,-y+1/2,-z+1/2'
'-x+1/2,y+1/2,z+1/2'
'-y+3/4,-x+3/4,-z+1/4'
'y+3/4,x+3/4,z+1/4'
'-x,y+1/2,-z'
'x,-y+1/2,z'
'y+3/4,x+1/4,-z+3/4'
'-y+3/4,-x+1/4,z+3/4'
loop_
_atom_site_label
_atom_site_type_symbol
_atom_site_fract_x
_atom_site_fract_y
_atom_site_fract_z
Ce1 Ce 0.000 0.060 0.202
Co1 Co 0.000 0.000 0.500
Ir1 Ir 0.000 0.250 0.875